(1)
Y4Ta5 | PBE-GGA | relaxed

Cell: 8.758 8.758 6.108 Å, 90.00 90.00 120.00°
Positions (direct):
Y 0.000 0.000 0.000
Y 0.000 0.000 0.500
Y 0.000 0.320 0.250
Y 0.000 0.680 0.750
Y 0.320 0.000 0.250
Y 0.320 0.320 0.750
Y 0.680 0.000 0.750
Y 0.680 0.680 0.250
Ta 0.000 0.371 0.750
Ta 0.000 0.629 0.250
Ta 0.333 0.667 0.000
Ta 0.333 0.667 0.500
Ta 0.371 0.000 0.750
Ta 0.371 0.371 0.250
Ta 0.629 0.000 0.250
Ta 0.629 0.629 0.750
Ta 0.667 0.333 0.000
Ta 0.667 0.333 0.500

## Properties
Space-group type: P6_3/mcm (193)
Magnetization: 0.00 Bohr magnetons per cell
E above lowest polymorph: 37 meV per atom
Calculated formation energy: 0.55 eV per atom


(2)
ZrAu2I6 | PBE-GGA | relaxed

Cell: 11.125 11.125 7.184 Å, 94.35 94.35 93.57°
Positions (direct):
Zr 0.084 0.916 0.750
Zr 0.916 0.084 0.250
Au 0.397 0.398 0.716
Au 0.398 0.397 0.216
Au 0.602 0.603 0.784
Au 0.603 0.602 0.284
I 0.049 0.164 0.604
I 0.076 0.688 0.869
I 0.164 0.049 0.104
I 0.271 0.503 0.462
I 0.312 0.924 0.631
I 0.497 0.729 0.038
I 0.503 0.271 0.962
I 0.688 0.076 0.369
I 0.729 0.497 0.538
I 0.836 0.951 0.896
I 0.924 0.312 0.131
I 0.951 0.836 0.396

## Properties
Space-group type: C2/c (15)
Magnetization: 0.00 Bohr magnetons per cell
Formation energy from raw total energies: -522 meV/atom


(3)
LiCd2Si | PBE-GGA | relaxed

Cell: 4.276 4.276 4.082 Å, 90.00 90.00 90.00°
Positions (direct):
Li 0.000 0.000 0.000
Cd 0.000 0.500 0.500
Cd 0.500 0.000 0.500
Si 0.500 0.500 0.000

## Properties
Space-group type: P4/mmm (123)
Magnetization: 0.00 Bohr magnetons per cell
Formation energy from raw total energies: 14 meV/atom


Question: Which value of magnetization does entry 1 give?
Answer: 0.00 Bohr magnetons per cell


Question: magnetization of number 1 (Y4Ta5)?
Answer: 0.00 Bohr magnetons per cell